Entry 1:
# Li2HPd (PBE-GGA, optimized geometry)
data_Li2HPd
_chemical_formula_sum 'Li8 H4 Pd4'
_cell_length_a 5.562
_cell_length_b 7.094
_cell_length_c 4.730
_cell_angle_alpha 90.00
_cell_angle_beta 90.00
_cell_angle_gamma 90.00
_space_group_name_H-M_alt 'P 1'
_space_group_IT_number 1
loop_
_space_group_symop_operation_xyz
'x,y,z'
loop_
_atom_site_label
_atom_site_fract_x
_atom_site_fract_y
_atom_site_fract_z
Li1 0.192 0.071 0.189
Li2 0.192 0.429 0.189
Li3 0.308 0.571 0.689
Li4 0.308 0.929 0.689
Li5 0.692 0.071 0.311
Li6 0.692 0.429 0.311
Li7 0.808 0.571 0.811
Li8 0.808 0.929 0.811
H1 0.177 0.750 0.027
H2 0.323 0.250 0.527
H3 0.677 0.750 0.473
H4 0.823 0.250 0.973
Pd1 0.043 0.250 0.694
Pd2 0.457 0.750 0.194
Pd3 0.543 0.250 0.806
Pd4 0.957 0.750 0.306
# DFT total energy = -3.448 eV per atom
# energy above the lowest structure with this stoichiometry = 5.69 kJ per mole of atoms

---

Entry 2:
# LiHPd3 (PBE-GGA, optimized geometry)
data_LiHPd3
_chemical_formula_sum 'Li1 H1 Pd3'
_cell_length_a 4.238
_cell_length_b 4.238
_cell_length_c 4.238
_cell_angle_alpha 90.00
_cell_angle_beta 90.00
_cell_angle_gamma 90.00
_space_group_name_H-M_alt 'P 1'
_space_group_IT_number 1
loop_
_space_group_symop_operation_xyz
'x,y,z'
loop_
_atom_site_label
_atom_site_fract_x
_atom_site_fract_y
_atom_site_fract_z
Li1 0.000 0.000 0.000
H1 0.500 0.500 0.500
Pd1 0.000 0.000 0.500
Pd2 0.000 0.500 0.000
Pd3 0.500 0.000 0.000
# DFT total energy = -3.224 eV per atom
# energy above the lowest structure with this stoichiometry = 119.12 kJ per mole of atoms

---

Entry 3:
# LiPmH6Pd (PBE-GGA, optimized geometry)
data_LiPmH6Pd
_chemical_formula_sum 'Li1 Pm1 H6 Pd1'
_cell_length_a 4.502
_cell_length_b 4.502
_cell_length_c 4.474
_cell_angle_alpha 90.00
_cell_angle_beta 90.00
_cell_angle_gamma 120.00
_space_group_name_H-M_alt 'P 1'
_space_group_IT_number 1
loop_
_space_group_symop_operation_xyz
'x,y,z'
loop_
_atom_site_label
_atom_site_fract_x
_atom_site_fract_y
_atom_site_fract_z
Li1 0.000 0.000 0.000
Pm1 0.667 0.333 0.500
H1 0.172 0.344 0.273
H2 0.172 0.344 0.727
H3 0.172 0.828 0.273
H4 0.172 0.828 0.727
H5 0.656 0.828 0.273
H6 0.656 0.828 0.727
Pd1 0.333 0.667 0.000
# DFT total energy = -3.844 eV per atom